Here is a relaxed NaTb2SnTe4 crystal from Alexandria. Energies are from PBE.

density	6.48	Mg/m³
size of the total moment	0.0	Bohr magnetons per cell
uncorrected formation energy	-1.007	eV per atom

Geometry as POSCAR:
```
NaTb2SnTe4
1.0
-5.530 -2.830 0.858
2.288 -2.943 5.042
-0.268 7.687 0.709
Na Tb Sn Te
1 2 1 4
Cartesian
-1.889 4.801 3.659
0.199 0.929 4.350
0.000 0.000 0.000
-3.709 0.986 2.258
1.139 -1.458 2.531
-0.740 3.316 6.170
-2.577 -0.458 4.801
-0.933 2.372 1.808
```

***

Here is a relaxed Ac4LaDy crystal from Alexandria. Energies are from PBE.

density	8.04	Mg/m³
excess energy over the best structure of this formula in the dataset	0	meV per atom
ΔH_f (0 K)	0.13	eV/atom
size of the total moment	0.0	Bohr magnetons per cell

Geometry as POSCAR:
```
Ac4LaDy
1.0
-3.938 -0.759 4.762
-3.012 -5.944 -3.438
7.086 -6.390 4.840
Ac La Dy
8 2 2
Cartesian
-0.726 -7.985 6.265
2.409 -8.658 4.681
-4.581 -8.839 2.942
-2.273 -4.435 1.483
-0.767 -1.463 3.202
4.717 -4.254 3.223
0.903 -11.630 2.963
0.862 -5.108 -0.100
-2.260 -4.459 -2.577
-4.689 -2.245 3.901
-0.685 -8.033 2.222
0.820 -5.061 3.942
```

***

Here is a relaxed ZrBe12 crystal from Alexandria. Energies are from PBE.

density	2.80	Mg/m³
ΔH_f (0 K)	-0.17	eV/atom
size of the total moment	0.0	Bohr magnetons per cell

Geometry as POSCAR:
```
ZrBe12
1.0
3.929 0.000 1.587
1.965 5.278 0.793
-0.012 0.000 5.688
Zr Be
1 12
Cartesian
0.000 0.000 0.000
1.959 0.000 3.637
-0.006 0.000 2.844
2.947 2.639 1.190
0.982 2.639 0.397
1.264 3.407 2.529
0.689 1.872 3.952
3.229 1.872 3.322
2.654 3.407 4.746
2.395 1.181 5.386
3.487 4.098 2.682
4.360 4.098 6.180
1.523 1.181 1.888
```